A plane-wave DFT calculation with PBE was carried out for an optimized crystal structure of Tb3SiC.

- formation energy without anion corrections (eV per formula unit) = -2.4
- V (Å³ per cell) = 434

Cell lengths 3.856, 8.064, 13.950 Å; angles 90.00, 90.00, 90.00 degrees
Fractional coordinates of all 20 atoms:
C  0.750  0.663  0.059
Si  0.750  0.409  0.674
Tb  0.750  0.020  0.603
C  0.250  0.837  0.559
Si  0.250  0.091  0.174
Tb  0.250  0.696  0.708
Si  0.750  0.909  0.826
Tb  0.250  0.833  0.990
C  0.250  0.337  0.941
Tb  0.250  0.196  0.792
Tb  0.250  0.980  0.397
Tb  0.750  0.520  0.897
Tb  0.750  0.667  0.490
Tb  0.750  0.304  0.292
Tb  0.250  0.480  0.103
Tb  0.750  0.167  0.010
Tb  0.750  0.804  0.208
Tb  0.250  0.333  0.510
Si  0.250  0.591  0.326
C  0.750  0.163  0.441

A plane-wave DFT calculation with PBE was carried out for an optimized crystal structure of Hf2ThAs4.

- formation enthalpy at 0 K (eV/atom) = -0.98
- V (Å³ per cell) = 324

Cell lengths 3.944, 6.611, 13.035 Å; angles 90.00, 90.00, 107.36 degrees
Fractional coordinates of all 14 atoms:
Hf  0.133  0.267  0.441
Th  0.389  0.779  0.250
As  0.766  0.532  0.376
As  0.938  0.876  0.750
As  0.500  0.000  0.000
As  0.766  0.532  0.124
As  0.234  0.468  0.624
Hf  0.867  0.733  0.941
Hf  0.133  0.267  0.059
Hf  0.867  0.733  0.559
As  0.234  0.468  0.876
Th  0.611  0.221  0.750
As  0.500  0.000  0.500
As  0.062  0.124  0.250

A plane-wave DFT calculation with PBE was carried out for an optimized crystal structure of TbPr5Ga6.

- formation enthalpy at 0 K (eV/atom) = -0.55
- V (Å³ per cell) = 305

Cell lengths 5.234, 7.401, 8.287 Å; angles 90.00, 71.66, 90.00 degrees
Fractional coordinates of all 12 atoms:
Ga  0.163  0.756  0.674
Pr  0.666  0.000  0.668
Pr  0.334  0.000  0.332
Ga  0.500  0.245  0.000
Ga  0.500  0.755  0.000
Ga  0.163  0.244  0.674
Pr  0.669  0.500  0.661
Ga  0.837  0.756  0.326
Tb  0.000  0.000  0.000
Pr  0.331  0.500  0.339
Ga  0.837  0.244  0.326
Pr  0.000  0.500  0.000

A plane-wave DFT calculation with PBE was carried out for an optimized crystal structure of Al2FeMo.

- polymorph energy (0 for the lowest one) (meV/atom) = 89
- formation enthalpy at 0 K (eV/atom) = -0.14
- V (Å³ per cell) = 58

Cell lengths 4.728, 4.728, 2.727 Å; angles 90.00, 90.00, 108.54 degrees
Fractional coordinates of all 4 atoms:
Al  0.000  0.000  0.000
Al  0.500  0.500  0.000
Mo  0.000  0.500  0.500
Fe  0.500  0.000  0.500

A plane-wave DFT calculation with PBE was carried out for an optimized crystal structure of NdAgCl.

- formation energy without anion corrections (eV per formula unit) = -2.8
- V (Å³ per cell) = 157

Cell lengths 4.565, 5.788, 15.839 Å; angles 140.73, 136.00, 38.10 degrees
Fractional coordinates of all 6 atoms:
Nd  0.615  0.718  0.477
Nd  0.657  0.020  0.014
Cl  0.719  0.372  0.581
Ag  0.791  0.718  0.147
Cl  0.921  0.172  0.781
Ag  0.436  0.952  0.299

A plane-wave DFT calculation with PBE was carried out for an optimized crystal structure of YHgSbAu.

- formation energy without anion corrections (eV per formula unit) = -1.7
- V (Å³ per cell) = 96

Cell lengths 5.135, 5.135, 5.135 Å; angles 60.00, 60.00, 60.00 degrees
Fractional coordinates of all 4 atoms:
Hg  0.000  0.000  0.000
Sb  0.250  0.250  0.250
Au  0.500  0.500  0.500
Y  0.750  0.750  0.750

A plane-wave DFT calculation with PBE was carried out for an optimized crystal structure of Na4Tb3PuTe8.

- formation energy without anion corrections (eV per formula unit) = -19.9
- V (Å³ per cell) = 520

Cell lengths 8.920, 9.137, 8.920 Å; angles 119.23, 120.00, 90.00 degrees
Fractional coordinates of all 16 atoms:
Pu  0.000  0.500  0.000
Tb  0.000  0.500  0.500
Na  0.000  0.000  0.000
Te  0.246  0.734  0.988
Te  0.754  0.266  0.012
Na  0.000  0.000  0.500
Tb  0.500  0.500  0.000
Na  0.500  0.000  0.500
Te  0.741  0.734  0.988
Te  0.259  0.266  0.012
Te  0.256  0.267  0.511
Tb  0.500  0.500  0.500
Te  0.744  0.733  0.489
Te  0.246  0.734  0.492
Na  0.500  0.000  0.000
Te  0.754  0.266  0.508

A plane-wave DFT calculation with PBE was carried out for an optimized crystal structure of KLaTl2O.

- formation energy without anion corrections (eV per formula unit) = -1.2
- V (Å³ per cell) = 140

Cell lengths 5.396, 4.814, 5.396 Å; angles 90.00, 90.00, 90.00 degrees
Fractional coordinates of all 5 atoms:
O  0.000  0.000  0.000
Tl  0.500  0.000  0.000
Tl  0.000  0.000  0.500
K  0.000  0.500  0.000
La  0.500  0.500  0.500